Entry 1:
# Rb2CdSn3

A relaxed structure of Rb2CdSn3 (GGA-PBE, Alexandria via LeMat-Bulk).

The structure in extended XYZ format:
```
6
Lattice="4.535 0.000 1.899 2.532 7.197 0.318 -0.452 -1.600 7.443" Properties=species:S:1:pos:R:3 pbc="T T T"
Rb 2.563 0.608 6.608
Rb 4.052 4.994 3.052
Cd 1.460 1.784 2.877
Sn 2.461 4.684 6.850
Sn 4.118 0.991 2.893
Sn 5.189 3.731 6.699
```

Size of the total moment: 0.000 μB per formula unit
Crystal system: monoclinic

---

Entry 2:
# RbCd4Sn12

A relaxed structure of RbCd4Sn12 (GGA-PBE, Alexandria via LeMat-Bulk).

The structure in extended XYZ format:
```
17
Lattice="-1.207 8.579 1.313 -6.262 -3.051 -5.316 -0.377 -4.211 7.675" Properties=species:S:1:pos:R:3 pbc="T T T"
Sn -4.166 0.443 4.745
Sn -2.039 -1.130 5.885
Sn -5.693 -2.329 -1.493
Sn -4.505 -4.001 2.881
Sn -2.153 3.646 5.165
Sn -5.231 3.250 1.462
Sn -6.144 -1.085 1.066
Sn -3.341 5.318 0.791
Sn -1.702 2.402 2.606
Sn -3.680 0.873 -1.073
Sn -5.807 2.447 -2.213
Sn -2.615 -1.933 2.210
Cd -0.604 4.289 0.657
Cd -3.131 -1.525 -2.658
Cd -3.923 0.658 1.836
Cd -0.189 -2.106 3.837
Rb 0.000 0.000 0.000
```

Size of the total moment: 0.000 μB per formula unit
Crystal system: cubic

---

Entry 3:
# Rb5Cd4Sn2

A relaxed structure of Rb5Cd4Sn2 (GGA-PBE, Alexandria via LeMat-Bulk).

The structure in extended XYZ format:
```
11
Lattice="6.759 0.000 0.000 3.380 6.656 -0.199 3.380 1.371 9.927" Properties=species:S:1:pos:R:3 pbc="T T T"
Rb 5.072 5.025 1.153
Rb 5.072 3.002 8.575
Rb 8.446 3.002 8.575
Rb 8.446 5.025 1.153
Rb 3.380 4.013 4.864
Cd 6.759 6.837 4.547
Cd 3.380 1.601 2.154
Cd 6.759 1.190 5.181
Cd 10.139 6.426 7.574
Sn 6.759 6.299 7.370
Sn 6.759 1.728 2.357
```

Size of the total moment: 0.000 μB per formula unit
Crystal system: monoclinic

---

Entry 4:
# Rb2CdSn6

A relaxed structure of Rb2CdSn6 (GGA-PBE, Alexandria via LeMat-Bulk).

The structure in extended XYZ format:
```
9
Lattice="-4.459 4.130 -2.991 -1.140 -7.153 -0.508 -5.010 -1.724 5.087" Properties=species:S:1:pos:R:3 pbc="T T T"
Cd 0.000 0.000 0.000
Sn -8.092 -2.990 0.265
Sn -2.516 -1.758 1.323
Sn -5.434 -1.416 1.987
Sn -7.475 0.475 0.617
Sn -3.133 -5.222 0.970
Sn -5.174 -3.332 -0.399
Rb -6.681 -5.048 2.989
Rb -3.927 0.300 -1.401
```

Size of the total moment: 0.000 μB per formula unit
Crystal system: monoclinic

---

Entry 5:
# Rb2Cd2Sn

A relaxed structure of Rb2Cd2Sn (GGA-PBE, Alexandria via LeMat-Bulk).

The structure in extended XYZ format:
```
10
Lattice="7.871 0.000 0.000 0.000 7.871 0.000 0.000 0.000 6.030" Properties=species:S:1:pos:R:3 pbc="T T T"
Rb 5.363 6.444 3.015
Rb 6.444 2.509 3.015
Rb 2.509 1.427 3.015
Rb 1.427 5.363 3.015
Cd 1.064 2.871 0.000
Cd 6.807 5.000 0.000
Cd 2.871 6.807 0.000
Cd 5.000 1.064 0.000
Sn 0.000 0.000 0.000
Sn 3.936 3.936 0.000
```

Size of the total moment: 0.000 μB per formula unit
Crystal system: tetragonal

---

Entry 6:
# RbCd9Sn2

A relaxed structure of RbCd9Sn2 (GGA-PBE, Alexandria via LeMat-Bulk).

The structure in extended XYZ format:
```
24
Lattice="7.832 0.000 3.606 3.916 8.577 1.803 0.329 0.000 9.594" Properties=species:S:1:pos:R:3 pbc="T T T"
Cd 7.554 5.036 5.097
Cd 0.000 0.000 0.000
Cd 9.304 7.107 9.828
Cd 3.128 0.747 7.781
Cd 6.688 7.107 6.977
Cd 2.098 1.471 4.864
Cd 5.224 5.759 3.228
Cd 5.898 2.818 3.538
Cd 2.262 2.818 9.661
Cd 5.197 3.541 10.216
Cd 5.032 0.747 5.419
Cd 6.063 1.471 8.335
Cd 8.438 5.036 11.709
Cd 3.802 7.830 8.091
Cd 2.964 3.541 2.984
Cd 7.996 4.289 8.403
Cd 2.936 5.759 9.972
Cd 4.358 7.830 5.109
Sn 6.120 6.433 9.900
Sn 7.914 2.144 6.004
Sn 9.872 6.433 6.905
Sn 8.078 2.144 10.801
Rb 3.916 0.000 1.803
Rb 4.080 4.289 6.600
```

Size of the total moment: 0.000 μB per formula unit
Crystal system: tetragonal

---

In the order shown, the computed electronic total energy values come out to -15.91, -51.50, -16.03, -27.82, -16.17, -35.52 eV/cell.